4
Lattice="3.012 0.000 0.000 0.000 3.012 0.000 0.000 0.000 6.634" Properties=species:S:1:pos:R:3 comment="PBE V2AsAu, optimized geometry" dos_ef_per_ev_fu=4.6 m_tot_mub_per_fu=0.00 space_group="No. 123" crystal_system=tetragonal delta_e_f_kj_per_mol_atoms=-9 pbc="T T T"
As 1.506 1.506 0.000
Au 1.506 1.506 3.317
V 0.000 0.000 5.209
V 0.000 0.000 1.425